PBE Ta2CrAg, relaxed; energy of formation from the pure elements = 0.45 eV per atom; energy above the most stable polymorph in this dataset = 0.97 eV per formula unit; space group = F-43m, No. 216
1.0
0.0000 3.2300 3.2300
3.2300 0.0000 3.2300
3.2300 3.2300 0.0000
Ta Cr Ag
2 1 1
Direct
0.0000 0.0000 0.0000 Ta
0.2500 0.2500 0.2500 Ta
0.5000 0.5000 0.5000 Cr
0.7500 0.7500 0.7500 Ag

PBE Ho3BCl3, relaxed; space group = I4_132, No. 214; formation energy from raw total energies = -1504 meV/atom
1.0
-5.4316 5.4316 5.4316
5.4316 -5.4316 5.4316
5.4316 5.4316 -5.4316
Ho B Cl
12 4 12
Direct
0.0161 0.0321 0.2661 Ho
0.0161 0.4839 0.7500 Ho
0.0321 0.2661 0.0161 Ho
0.2339 0.2661 0.7500 Ho
0.2339 0.4679 0.4839 Ho
0.2661 0.0161 0.0321 Ho
0.2661 0.7500 0.2339 Ho
0.4679 0.4839 0.2339 Ho
0.4839 0.2339 0.4679 Ho
0.4839 0.7500 0.0161 Ho
0.7500 0.0161 0.4839 Ho
0.7500 0.2339 0.2661 Ho
0.0000 0.2500 0.5000 B
0.2500 0.2500 0.2500 B
0.2500 0.5000 0.0000 B
0.5000 0.0000 0.2500 B
0.2500 0.7550 0.7450 Cl
0.2500 0.9950 0.5050 Cl
0.5050 0.2500 0.9950 Cl
0.5050 0.7550 0.5100 Cl
0.5100 0.5050 0.7550 Cl
0.7450 0.2500 0.7550 Cl
0.7450 0.9950 0.9900 Cl
0.7550 0.5100 0.5050 Cl
0.7550 0.7450 0.2500 Cl
0.9900 0.7450 0.9950 Cl
0.9950 0.5050 0.2500 Cl
0.9950 0.9900 0.7450 Cl

PBE Pm2Be3AlCu12, relaxed; energy of formation from the pure elements = 0.29 eV per atom; space group = R-3m, No. 166
1.0
3.7681 2.1755 5.8865
-3.7681 2.1755 5.8865
0.0000 -4.3510 5.8865
Pm Be Al Cu
2 3 1 12
Direct
0.1030 0.1030 0.1030 Pm
0.8970 0.8970 0.8970 Pm
0.0000 0.5000 0.5000 Be
0.5000 0.0000 0.5000 Be
0.5000 0.5000 0.0000 Be
0.5000 0.5000 0.5000 Al
0.1085 0.6261 0.6261 Cu
0.1657 0.1657 0.5990 Cu
0.1657 0.5990 0.1657 Cu
0.3739 0.3739 0.8915 Cu
0.3739 0.8915 0.3739 Cu
0.4010 0.8343 0.8343 Cu
0.5990 0.1657 0.1657 Cu
0.6261 0.1085 0.6261 Cu
0.6261 0.6261 0.1085 Cu
0.8343 0.4010 0.8343 Cu
0.8343 0.8343 0.4010 Cu
0.8915 0.3739 0.3739 Cu

| no. | total DFT energy (no corrections) (eV/atom) |
| --- | --- |
| 1 | -8.59 |
| 2 | -5.21 |
| 3 | -3.80 |